# 1
This record from Alexandria via LeMat-Bulk describes a geometry-optimized Na2Li2CoO4 structure. The functional is PBE+U.

a = 3.072 Å, b = 5.965 Å, c = 6.048 Å
α = 61.66°, β = 75.88°, γ = 75.21°
Space group P-1 (No. 2)
Unique sites:
Na (0.162, 0.219, 0.468) x2
Li (0.329, 0.376, 0.962) x2
Co (0.000, 0.000, 0.000) x1
O (0.195, 0.763, 0.846) x2
O (0.473, 0.815, 0.218) x2

- ΔE to the lowest computed polymorph (meV per atom) = 96.0
- size of the total moment (Bohr magnetons per cell) = 1.01


# 2
This record from Alexandria via LeMat-Bulk describes a geometry-optimized Na2Li2CoO4 structure. The functional is PBE+U.

a = 6.459 Å, b = 8.354 Å, c = 10.586 Å
α = 90.00°, β = 127.26°, γ = 90.00°
Space group P2_1/c (No. 14)
Unique sites:
Na (0.217, 0.203, 0.332) x4
Na (0.253, 0.017, 0.012) x4
Li (0.235, 0.569, 0.220) x4
Li (0.244, 0.656, 0.004) x4
Co (0.283, 0.633, 0.782) x4
O (0.030, 0.551, 0.792) x4
O (0.104, 0.718, 0.587) x4
O (0.413, 0.704, 0.426) x4
O (0.496, 0.022, 0.308) x4

- ΔE to the lowest computed polymorph (meV per atom) = 0.0
- size of the total moment (Bohr magnetons per cell) = 19.98


# 3
This record from Alexandria via LeMat-Bulk describes a geometry-optimized NaLiCoO3 structure. The functional is PBE+U.

a = 5.156 Å, b = 10.143 Å, c = 5.076 Å
α = 90.00°, β = 101.04°, γ = 90.00°
Space group C2/c (No. 15)
Unique sites:
Na (0.000, 0.246, 0.250) x4
Li (0.000, 0.069, 0.750) x4
Co (0.000, 0.435, 0.750) x4
O (0.000, 0.265, 0.750) x4
O (0.229, 0.457, 0.508) x8

- DFT total energy (eV for the cell shown) = -124.60
- size of the total moment (Bohr magnetons per cell) = 12.00


# 4
This record from Alexandria via LeMat-Bulk describes a geometry-optimized Na2LiCoO structure. The functional is PBE+U.

a = 5.263 Å, b = 5.263 Å, c = 3.379 Å
α = 90.00°, β = 90.00°, γ = 90.00°
Space group P4/mmm (No. 123)
Unique sites:
Na (0.000, 0.500, 0.000) x2
Li (0.000, 0.000, 0.000) x1
Co (0.500, 0.500, 0.500) x1
O (0.000, 0.000, 0.500) x1

- DFT total energy (eV for the cell shown) = -15.55
- size of the total moment (Bohr magnetons per cell) = 2.07


# 5
This record from Alexandria via LeMat-Bulk describes a geometry-optimized Na2Li3CoO4 structure. The functional is PBE+U.

a = 8.043 Å, b = 8.244 Å, c = 6.596 Å
α = 90.00°, β = 90.00°, γ = 90.00°
Space group Pnnm (No. 58)
Unique sites:
Na (0.000, 0.000, 0.244) x4
Na (0.241, 0.253, 0.500) x4
Li (0.015, 0.650, 0.255) x8
Li (0.236, 0.594, 0.500) x4
Co (0.224, 0.383, 0.000) x4
O (0.046, 0.226, 0.000) x4
O (0.063, 0.780, 0.500) x4
O (0.196, 0.484, 0.248) x8

- DFT total energy (eV for the cell shown) = -195.38
- size of the total moment (Bohr magnetons per cell) = 16.08